The following is a PBE calculation of a relaxed structure of Np2SbS4, from the Alexandria database.

```
Np2SbS4
1.0
5.9640 0.0000 0.0000
0.0000 5.9640 0.0000
-2.9820 -2.9820 6.3999
Sb S Np
1 4 2
direct
0.5000 0.5000 0.0000 Sb
0.8845 0.3637 0.2482 S
0.3637 0.8845 0.2482 S
0.6363 0.6363 0.7518 S
0.1155 0.1155 0.7518 S
0.7500 0.2500 0.5000 Np
0.2500 0.7500 0.5000 Np
```

## Properties
Magnetic moment (μB/f.u.): 9.0
Raw total energy (eV per cell): -50.18
Energy relative to the elements, uncorrected (eV per atom): -0.52


The following is a PBE calculation of a relaxed structure of Np2SbS, from the Alexandria database.

```
Np2SbS
1.0
-2.1637 3.1552 -1.6851
-3.0770 -0.7916 -2.7170
-6.1384 0.4803 3.5957
S Np Sb
1 2 1
direct
0.5000 0.5000 0.5000 S
0.7620 0.7620 0.7140 Np
0.2380 0.2380 0.2860 Np
0.0000 0.0000 0.0000 Sb
```

## Properties
Magnetic moment (μB/f.u.): 8.4
Raw total energy (eV per cell): -37.10
Energy relative to the elements, uncorrected (eV per atom): -0.74


The following is a PBE calculation of a relaxed structure of NpSbS3, from the Alexandria database.

```
NpSbS3
1.0
4.0573 0.0000 0.0000
0.0000 10.2348 0.0000
0.0000 0.0000 13.0627
Sb S Np
4 12 4
direct
0.7500 0.5520 0.6536 Sb
0.7500 0.0520 0.8464 Sb
0.2500 0.9480 0.1536 Sb
0.2500 0.4480 0.3464 Sb
0.7500 0.8121 0.2126 S
0.7500 0.3121 0.2874 S
0.2500 0.5216 0.1132 S
0.2500 0.3405 0.5237 S
0.2500 0.8405 0.9763 S
0.7500 0.9784 0.6132 S
0.7500 0.4784 0.8868 S
0.2500 0.1879 0.7874 S
0.2500 0.6879 0.7126 S
0.2500 0.0216 0.3868 S
0.7500 0.6595 0.4763 S
0.7500 0.1595 0.0237 S
0.7500 0.1652 0.4662 Np
0.7500 0.6652 0.0338 Np
0.2500 0.3348 0.9662 Np
0.2500 0.8348 0.5338 Np
```

## Properties
Magnetic moment (μB/f.u.): 3.9
Raw total energy (eV per cell): -133.11
Energy relative to the elements, uncorrected (eV per atom): -0.77
Offset from the most stable computed form (eV/f.u.): 0.00


The following is a PBE calculation of a relaxed structure of NpSbS, from the Alexandria database.

```
NpSbS
1.0
3.5322 0.0000 0.0000
0.0000 3.5322 0.0000
-1.7661 -1.7661 5.7293
Sb S Np
1 1 1
direct
0.3308 0.3308 0.6615 Sb
0.0391 0.0391 0.0782 S
0.6301 0.6301 0.2603 Np
```

## Properties
Magnetic moment (μB/f.u.): 3.7
Raw total energy (eV per cell): -23.03
Energy relative to the elements, uncorrected (eV per atom): -0.61


The following is a PBE calculation of a relaxed structure of NpSbS, from the Alexandria database.

```
NpSbS
1.0
-2.5054 1.9898 -2.5142
-1.4077 -3.5494 -1.4063
-4.0830 0.7880 7.9850
Sb Np S
2 2 2
direct
0.5000 0.0000 0.0000 Sb
0.0000 0.5000 0.0000 Sb
0.6570 0.6570 0.3141 Np
0.3430 0.3430 0.6859 Np
0.1833 0.1833 0.3666 S
0.8167 0.8167 0.6334 S
```

## Properties
Magnetic moment (μB/f.u.): 3.9
Raw total energy (eV per cell): -47.65
Energy relative to the elements, uncorrected (eV per atom): -0.88


The following is a PBE calculation of a relaxed structure of Np2SbS6, from the Alexandria database.

```
Np2SbS6
1.0
-0.4870 3.7952 1.4912
0.6143 2.6890 -6.6434
-6.4698 -1.8336 2.5539
S Np Sb
6 2 1
direct
0.7545 0.3831 0.3033 S
0.2455 0.0798 0.3831 S
0.7545 0.9202 0.6169 S
0.7545 0.6967 0.0798 S
0.2455 0.6169 0.6967 S
0.2455 0.3033 0.9202 S
0.2635 0.6667 0.3333 Np
0.7365 0.3333 0.6667 Np
0.5000 0.0000 0.0000 Sb
```

## Properties
Magnetic moment (μB/f.u.): 5.0
Raw total energy (eV per cell): -62.40
Energy relative to the elements, uncorrected (eV per atom): -0.85
Offset from the most stable computed form (eV/f.u.): 0.00


The following is a PBE calculation of a relaxed structure of NpSbS3, from the Alexandria database.

```
NpSbS3
1.0
4.2992 0.0000 0.0000
0.0000 8.0531 1.0900
-2.1496 -0.3023 7.5656
S Sb Np
6 2 2
direct
0.1546 0.3992 0.3091 S
0.6864 0.9166 0.3728 S
0.9634 0.2008 0.9267 S
0.0366 0.7992 0.0733 S
0.3136 0.0834 0.6272 S
0.8454 0.6008 0.6909 S
0.5886 0.5750 0.1772 Sb
0.4114 0.4250 0.8228 Sb
0.1330 0.0734 0.2661 Np
0.8670 0.9266 0.7339 Np
```

## Properties
Magnetic moment (μB/f.u.): 3.0
Raw total energy (eV per cell): -65.60
Energy relative to the elements, uncorrected (eV per atom): -0.67
Offset from the most stable computed form (eV/f.u.): 0.48


The following is a PBE calculation of a relaxed structure of Np2SbS6, from the Alexandria database.

```
Np2SbS6
1.0
6.2193 0.0000 0.0000
0.0000 6.2193 0.0000
0.0000 0.0000 12.2162
Sb S Np
2 12 4
direct
0.0000 0.0000 0.0000 Sb
0.5000 0.5000 0.5000 Sb
0.1887 0.8113 0.5000 S
0.3036 0.3036 0.3293 S
0.1964 0.8036 0.8293 S
0.1964 0.8036 0.1707 S
0.6887 0.6887 0.0000 S
0.6964 0.6964 0.6707 S
0.6964 0.6964 0.3293 S
0.8113 0.1887 0.5000 S
0.3113 0.3113 0.0000 S
0.3036 0.3036 0.6707 S
0.8036 0.1964 0.8293 S
0.8036 0.1964 0.1707 S
0.0000 0.0000 0.3328 Np
0.5000 0.5000 0.8328 Np
0.5000 0.5000 0.1672 Np
0.0000 0.0000 0.6672 Np
```

## Properties
Magnetic moment (μB/f.u.): 5.0
Raw total energy (eV per cell): -124.41
Energy relative to the elements, uncorrected (eV per atom): -0.83
Offset from the most stable computed form (eV/f.u.): 0.19